Record 1
# Sc2AsSe

Sc2AsSe after structural relaxation (GGA-PBE, the Alexandria database).

Cell: 6.705 3.871 6.749 Å, 90.00 109.23 90.00°
Space group C2/m (No. 12)
Asymmetric unit:
1 Sc 0.245 0.000 0.236 [4 per cell]
2 As 0.000 0.500 0.000 [2 per cell]
3 Se 0.000 0.000 0.500 [2 per cell]

Values from the calculation:
**Formation energy (no corrections)**: -1.54 eV per atom

=====

Record 2
# TbSm2Dy5

TbSm2Dy5 after structural relaxation (GGA-PBE, the Alexandria database).

Cell: 6.288 8.479 11.169 Å, 73.46 73.67 68.27°
Space group P-1 (No. 2)
Asymmetric unit:
1 Tb 0.073 0.467 0.220 [2 per cell]
2 Sm 0.300 0.658 0.906 [2 per cell]
3 Sm 0.448 0.595 0.343 [2 per cell]
4 Dy 0.052 0.907 0.157 [2 per cell]
5 Dy 0.178 0.280 0.531 [2 per cell]
6 Dy 0.196 0.846 0.593 [2 per cell]
7 Dy 0.323 0.216 0.969 [2 per cell]
8 Dy 0.427 0.032 0.282 [2 per cell]

Values from the calculation:
**DFT formation energy**: 0.015 eV per atom

=====

Record 3
# LiCoAu

LiCoAu after structural relaxation (GGA-PBE, the Alexandria database).

Cell: 4.2617 4.2617 2.6674 Å, 90.00 90.00 120.00°
Space group P3m1 (No. 156)
Asymmetric unit:
1 Li 0.0000 0.0000 0.0000 [1 per cell]
2 Co 0.3333 0.6667 0.7466 [1 per cell]
3 Au 0.6667 0.3333 0.3343 [1 per cell]

Values from the calculation:
**DFT formation energy**: 0.054 eV per atom